BaZr2Tc | PBE | relaxed

a b c (Å): 5.747 5.747 3.222
angles (deg): 100.13 100.13 114.53
Atoms (fractional coordinates):
1 Ba 0.000 0.000 0.000
2 Zr 0.000 0.500 0.500
3 Zr 0.500 0.000 0.500
4 Tc 0.500 0.500 0.000

**Energy**: -6.56 eV per atom
**Polymorph energy (0 for the lowest one)**: 2.749 eV per formula unit
**D(E_F)**: 5.01 states/eV/cell
**Energy of formation**: 0.787 eV per atom

=====

Ba2ZrTc | PBE | relaxed

a b c (Å): 3.598 3.598 10.353
angles (deg): 90.00 90.00 90.00
Atoms (fractional coordinates):
1 Ba 0.000 0.000 0.000
2 Ba 0.500 0.500 0.388
3 Zr 0.500 0.500 0.721
4 Tc 0.000 0.000 0.611

**Energy**: -5.35 eV per atom
**Polymorph energy (0 for the lowest one)**: 0.000 eV per formula unit
**D(E_F)**: 5.23 states/eV/cell
**Energy of formation**: 0.339 eV per atom

=====

BaZr2Tc | PBE | relaxed

a b c (Å): 4.276 4.276 8.098
angles (deg): 105.62 105.62 58.89
Atoms (fractional coordinates):
1 Ba 0.000 0.000 0.000
2 Zr 0.558 0.558 0.652
3 Zr 0.799 0.799 0.378
4 Tc 0.182 0.182 0.522

**Energy**: -7.07 eV per atom
**Polymorph energy (0 for the lowest one)**: 0.718 eV per formula unit
**D(E_F)**: 5.11 states/eV/cell
**Energy of formation**: 0.279 eV per atom

=====

BaZrTc2 | PBE | relaxed

a b c (Å): 7.627 7.627 7.627
angles (deg): 32.08 32.08 32.08
Atoms (fractional coordinates):
1 Ba 0.000 0.000 0.000
2 Zr 0.813 0.813 0.813
3 Tc 0.202 0.202 0.202
4 Tc 0.560 0.560 0.560

**Energy**: -7.48 eV per atom
**Polymorph energy (0 for the lowest one)**: 0.000 eV per formula unit
**D(E_F)**: 3.27 states/eV/cell
**Energy of formation**: 0.318 eV per atom

=====

BaZrTc4 | PBE | relaxed

a b c (Å): 5.459 5.459 5.459
angles (deg): 60.00 60.00 60.00
Atoms (fractional coordinates):
1 Ba 0.000 0.000 0.000
2 Zr 0.250 0.250 0.250
3 Tc 0.127 0.624 0.624
4 Tc 0.624 0.127 0.624
5 Tc 0.624 0.624 0.127
6 Tc 0.624 0.624 0.624

**Energy**: -8.17 eV per atom
**D(E_F)**: 10.44 states/eV/cell
**Energy of formation**: 0.481 eV per atom

=====

BaZr2Tc | PBE | relaxed

a b c (Å): 5.064 5.064 3.510
angles (deg): 90.00 90.00 90.00
Atoms (fractional coordinates):
1 Ba 0.000 0.000 0.000
2 Zr 0.000 0.500 0.500
3 Zr 0.500 0.000 0.500
4 Tc 0.500 0.500 0.000

**Energy**: -6.58 eV per atom
**Polymorph energy (0 for the lowest one)**: 2.683 eV per formula unit
**D(E_F)**: 5.58 states/eV/cell
**Energy of formation**: 0.771 eV per atom